VASP calculation (GGA-PBE) on crystalline Ho6Ge2PS3 at its relaxed geometry.

- Space group: C2/m, No. 12
- Density of states at the Fermi level: 2.105 states/eV per cell
- Formation energy (no corrections): -1.59 eV per atom

abc: 4.0080 7.9960 8.9383
angles: 102.67 102.96 90.00
Closest atoms and distances in Å follow each position.
Atoms (fractional coordinates):
Ge 0.1666 0.3323 0.3332  6 Ho 2.80-2.84
Ge 0.8334 0.6677 0.6668  6 Ho 2.80-2.84
Ho 0.0014 0.2444 0.0028  2 P 2.80, 1 Ge 2.80, 3 S 2.83-2.87
Ho 0.3355 0.9164 0.6711  1 P 2.79, 2 Ge 2.82, 3 S 2.83-2.89
Ho 0.3338 0.4178 0.6677  3 S 2.82-2.84, 3 Ge 2.83-2.84
Ho 0.6662 0.5822 0.3323  3 S 2.82-2.84, 3 Ge 2.83-2.84
Ho 0.9986 0.7556 0.9972  2 P 2.80, 1 Ge 2.80, 3 S 2.83-2.87
Ho 0.6645 0.0836 0.3289  1 P 2.79, 2 Ge 2.82, 3 S 2.83-2.89
S 0.1654 0.8341 0.3307  6 Ho 2.83-2.89
S 0.5000 0.5000 0.0000  6 Ho 2.82-2.87
S 0.8346 0.1659 0.6693  6 Ho 2.83-2.89
P 0.5000 0.0000 0.0000  6 Ho 2.79-2.80


VASP calculation (GGA-PBE) on crystalline Ho6GeP2S3 at its relaxed geometry.

- Space group: C2/m, No. 12
- Density of states at the Fermi level: 3.547 states/eV per cell
- Formation energy (no corrections): -1.73 eV per atom

abc: 3.9785 7.9340 8.8805
angles: 102.82 102.94 90.00
Closest atoms and distances in Å follow each position.
Atoms (fractional coordinates):
Ho 0.6662 0.0885 0.3324  2 P 2.78, 1 Ge 2.80, 3 S 2.80-2.85
Ho 0.0015 0.2499 0.0030  1 P 2.79, 2 Ge 2.80, 3 S 2.81-2.85
Ho 0.3338 0.9115 0.6676  2 P 2.78, 1 Ge 2.80, 3 S 2.80-2.85
Ho 0.3310 0.4216 0.6619  3 P 2.76-2.77, 3 S 2.83-2.85
Ho 0.6690 0.5784 0.3381  3 P 2.76-2.77, 3 S 2.83-2.85
Ho 0.9985 0.7501 0.9970  1 P 2.79, 2 Ge 2.80, 3 S 2.81-2.85
S 0.5000 0.5000 0.0000  6 Ho 2.81-2.85
S 0.8326 0.1679 0.6652  6 Ho 2.80-2.85
S 0.1674 0.8321 0.3348  6 Ho 2.80-2.85
P 0.8327 0.6653 0.6654  6 Ho 2.76-2.79
P 0.1673 0.3347 0.3346  6 Ho 2.76-2.79
Ge 0.5000 0.0000 0.0000  6 Ho 2.80


VASP calculation (GGA-PBE) on crystalline Ho6GeP2Se3 at its relaxed geometry.

- Space group: C2/m, No. 12
- Density of states at the Fermi level: 3.803 states/eV per cell
- Formation energy (no corrections): -1.64 eV per atom

abc: 4.0437 8.1455 9.0958
angles: 103.59 102.84 90.00
Closest atoms and distances in Å follow each position.
Atoms (fractional coordinates):
P 0.1674 0.3350 0.3348  6 Ho 2.77-2.81
P 0.8326 0.6650 0.6652  6 Ho 2.77-2.81
Ho 0.0043 0.2431 0.0086  1 P 2.81, 2 Ge 2.82, 3 Se 2.92-2.95
Ho 0.3364 0.9040 0.6729  2 P 2.80, 1 Ge 2.82, 3 Se 2.92-2.96
Ho 0.3283 0.4283 0.6565  3 P 2.77-2.78, 3 Se 2.95-2.96
Ho 0.6717 0.5717 0.3435  3 P 2.77-2.78, 3 Se 2.95-2.96
Ho 0.6636 0.0960 0.3271  2 P 2.80, 1 Ge 2.82, 3 Se 2.92-2.96
Ho 0.9957 0.7569 0.9914  1 P 2.81, 2 Ge 2.82, 3 Se 2.92-2.95
Ge 0.5000 0.0000 0.0000  6 Ho 2.82
Se 0.1672 0.8324 0.3344  6 Ho 2.92-2.96
Se 0.5000 0.5000 0.0000  6 Ho 2.92-2.96
Se 0.8328 0.1676 0.6656  6 Ho 2.92-2.96


VASP calculation (GGA-PBE) on crystalline Ho6Ge2P3Se at its relaxed geometry.

- Space group: C2/m, No. 12
- Density of states at the Fermi level: 3.885 states/eV per cell
- Formation energy (no corrections): -1.38 eV per atom

abc: 3.9731 8.2188 9.0830
angles: 103.64 102.63 90.00
Closest atoms and distances in Å follow each position.
Atoms (fractional coordinates):
Ho 0.6698 0.0773 0.3396  3 P 2.80-2.86, 2 Ge 2.90, 1 Se 2.92
Ho 0.6642 0.5920 0.3283  3 P 2.82, 3 Ge 2.91-2.92
Ho 0.3358 0.4080 0.6717  3 P 2.82, 3 Ge 2.91-2.92
Ho 0.0009 0.7393 0.0018  3 P 2.79-2.81, 1 Ge 2.89, 2 Se 2.92
Ho 0.3302 0.9227 0.6604  3 P 2.80-2.86, 2 Ge 2.90, 1 Se 2.92
Ho 0.9991 0.2607 0.9982  3 P 2.79-2.81, 1 Ge 2.89, 2 Se 2.92
P 0.5000 0.5000 0.0000  6 Ho 2.79-2.82
P 0.1641 0.8348 0.3282  6 Ho 2.80-2.86
P 0.8359 0.1652 0.6718  6 Ho 2.80-2.86
Ge 0.1667 0.3334 0.3334  6 Ho 2.89-2.92
Ge 0.8333 0.6666 0.6666  6 Ho 2.89-2.92
Se 0.5000 0.0000 0.0000  6 Ho 2.92


VASP calculation (GGA-PBE) on crystalline Ho4GeTe2P at its relaxed geometry.

- Space group: P2/m, No. 10
- Density of states at the Fermi level: 1.861 states/eV per cell
- Formation energy (no corrections): -1.36 eV per atom

abc: 4.1660 7.2140 7.4145
angles: 108.88 90.00 90.00
Closest atoms and distances in Å follow each position.
Atoms (fractional coordinates):
Ho 0.0000 0.2594 0.7825  1 P 2.84, 2 Ge 2.85, 3 Te 3.11-3.12
Ho 0.0000 0.7406 0.2175  1 P 2.84, 2 Ge 2.85, 3 Te 3.11-3.12
Ho 0.5000 0.2362 0.2140  2 P 2.83, 1 Ge 2.84, 3 Te 3.12-3.14
Ho 0.5000 0.7638 0.7860  2 P 2.83, 1 Ge 2.84, 3 Te 3.12-3.14
Te 0.5000 0.0000 0.5000  6 Ho 3.11-3.12
Te 0.0000 0.5000 0.5000  6 Ho 3.12-3.14
P 0.0000 0.0000 0.0000  6 Ho 2.83-2.84
Ge 0.5000 0.5000 0.0000  6 Ho 2.84-2.85


VASP calculation (GGA-PBE) on crystalline Ho8Ge3Te3P at its relaxed geometry.

- Space group: R-3m, No. 166
- Density of states at the Fermi level: 8.862 states/eV per cell
- Formation energy (no corrections): -1.10 eV per atom

abc: 8.3402 8.3402 8.4775
angles: 119.47 90.00 120.00
Closest atoms and distances in Å follow each position.
Atoms (fractional coordinates):
Te 0.5000 0.5000 0.0000  6 Ho 3.10-3.11
Te 0.0000 0.0000 0.0000  6 Ho 3.10-3.11
Te 0.0000 0.5000 0.0000  6 Ho 3.10-3.11
Ho 0.7613 0.0211 0.2824  1 P 2.84, 2 Ge 2.85, 2 Te 3.11
Ho 0.7400 0.4801 0.7201  3 Ge 2.86, 3 Te 3.10
Ho 0.2387 0.9789 0.7176  1 P 2.84, 2 Ge 2.85, 2 Te 3.11
Ho 0.2387 0.4774 0.7176  1 P 2.84, 2 Ge 2.85, 2 Te 3.11
Ho 0.2598 0.0211 0.2824  1 P 2.84, 2 Ge 2.85, 2 Te 3.11
Ho 0.7613 0.5226 0.2824  1 P 2.84, 2 Ge 2.85, 2 Te 3.11
Ho 0.7402 0.9789 0.7176  1 P 2.84, 2 Ge 2.85, 2 Te 3.11
Ho 0.2600 0.5199 0.2799  3 Ge 2.86, 3 Te 3.10
P 0.0000 0.0000 0.5000  6 Ho 2.84
Ge 0.5000 0.5000 0.5000  6 Ho 2.85-2.86
Ge 0.5000 0.0000 0.5000  6 Ho 2.85-2.86
Ge 0.0000 0.5000 0.5000  6 Ho 2.85-2.86


VASP calculation (GGA-PBE) on crystalline Ho6GeTe3P2 at its relaxed geometry.

- Space group: C2/m, No. 12
- Density of states at the Fermi level: 2.606 states/eV per cell
- Formation energy (no corrections): -1.43 eV per atom

abc: 7.1741 7.1741 7.4115
angles: 99.26 99.26 120.02
Closest atoms and distances in Å follow each position.
Atoms (fractional coordinates):
Ho 0.7340 0.7340 0.2132  2 P 2.81, 1 Ge 2.84, 3 Te 3.10-3.13
Ho 0.0713 0.4081 0.2142  2 P 2.81, 1 Ge 2.85, 3 Te 3.11-3.13
Ho 0.4081 0.0713 0.2142  2 P 2.81, 1 Ge 2.85, 3 Te 3.11-3.13
Ho 0.2660 0.2660 0.7868  2 P 2.81, 1 Ge 2.84, 3 Te 3.10-3.13
Ho 0.9287 0.5919 0.7858  2 P 2.81, 1 Ge 2.85, 3 Te 3.11-3.13
Ho 0.5919 0.9287 0.7858  2 P 2.81, 1 Ge 2.85, 3 Te 3.11-3.13
Te 0.1656 0.8344 0.5000  6 Ho 3.11-3.13
Te 0.8344 0.1656 0.5000  6 Ho 3.11-3.13
Te 0.5000 0.5000 0.5000  6 Ho 3.10-3.13
P 0.3333 0.6667 0.0000  6 Ho 2.81
P 0.6667 0.3333 0.0000  6 Ho 2.81
Ge 0.0000 0.0000 0.0000  6 Ho 2.84-2.85


VASP calculation (GGA-PBE) on crystalline Ho8Ge3Te4P at its relaxed geometry.

- Space group: R-3m, No. 166
- Density of states at the Fermi level: 3.328 states/eV per cell
- Formation energy (no corrections): -1.27 eV per atom

abc: 8.3887 8.5466 8.3887
angles: 119.40 120.00 90.00
Closest atoms and distances in Å follow each position.
Atoms (fractional coordinates):
Ge 0.5000 0.5000 0.0000  6 Ho 2.86-2.88
Ge 0.5000 0.5000 0.5000  6 Ho 2.86-2.88
Ge 0.0000 0.5000 0.5000  6 Ho 2.86-2.88
Ho 0.2601 0.2836 0.0218  1 P 2.85, 2 Ge 2.86, 3 Te 3.14
Ho 0.7401 0.7203 0.4802  3 Ge 2.88, 3 Te 3.12
Ho 0.7399 0.7164 0.9782  1 P 2.85, 2 Ge 2.86, 3 Te 3.14
Ho 0.7617 0.2835 0.5233  1 P 2.86, 2 Ge 2.86, 3 Te 3.14
Ho 0.2383 0.7164 0.9782  1 P 2.85, 2 Ge 2.86, 3 Te 3.14
Ho 0.2383 0.7165 0.4767  1 P 2.86, 2 Ge 2.86, 3 Te 3.14
Ho 0.7617 0.2836 0.0218  1 P 2.85, 2 Ge 2.86, 3 Te 3.14
Ho 0.2599 0.2797 0.5198  3 Ge 2.88, 3 Te 3.12
Te 0.0000 0.0000 0.0000  6 Ho 3.12-3.14
Te 0.5000 0.0000 0.5000  6 Ho 3.12-3.14
Te 0.0000 0.0000 0.5000  6 Ho 3.12-3.14
Te 0.5000 0.0000 0.0000  6 Ho 3.14
P 0.0000 0.5000 0.0000  6 Ho 2.85-2.86


VASP calculation (GGA-PBE) on crystalline HoPaGe2 at its relaxed geometry.

- Space group: I4_1/amd, No. 141
- Distance to the lowest polymorph of the same formula: 1 meV per atom
- Density of states at the Fermi level: 3.699 states/eV per cell
- DFT formation energy: -622 meV per atom

abc: 5.8451 5.8451 7.1718
angles: 114.05 114.05 90.00
Closest atoms and distances in Å follow each position.
Atoms (fractional coordinates):
Pa 0.7500 0.2500 0.5000  6 Ge 2.88-2.92
Pa 0.0000 0.0000 0.0000  6 Ge 2.88-2.92
Ge 0.7541 0.7541 0.5082  3 Pa 2.88-2.92, 3 Ho 2.92-2.98
Ge 0.5041 0.0041 0.0082  3 Pa 2.88-2.92, 3 Ho 2.92-2.98
Ge 0.2459 0.2459 0.4918  3 Pa 2.88-2.92, 3 Ho 2.92-2.98
Ge 0.9959 0.4959 0.9918  3 Pa 2.88-2.92, 3 Ho 2.92-2.98
Ho 0.2500 0.7500 0.5000  6 Ge 2.92-2.98
Ho 0.5000 0.5000 0.0000  6 Ge 2.92-2.98


VASP calculation (GGA-PBE) on crystalline HoPa3Ge4 at its relaxed geometry.

- Space group: P4/mmm, No. 123
- Density of states at the Fermi level: 10.028 states/eV per cell
- DFT formation energy: -471 meV per atom

abc: 3.0848 8.1443 8.1443
angles: 81.77 67.77 67.77
Closest atoms and distances in Å follow each position.
Atoms (fractional coordinates):
Pa 0.9998 0.0001 0.0000  8 Ge 3.08, 2 Pa 3.08
Pa 0.5001 0.0001 0.5000  8 Ge 3.07, 2 Pa 3.08
Pa 0.9998 0.5001 0.5000  8 Ge 3.08, 2 Pa 3.08
Ge 0.5026 0.2487 0.7486  6 Pa 3.07-3.08, 2 Ge 3.08, 2 Ho 3.09
Ge 0.0000 0.2488 0.2513  6 Pa 3.07-3.08, 2 Ge 3.08, 2 Ho 3.09
Ge 0.0000 0.7514 0.7486  6 Pa 3.07-3.08, 2 Ge 3.08, 2 Ho 3.09
Ge 0.4974 0.7515 0.2513  6 Pa 3.07-3.08, 2 Ge 3.08, 2 Ho 3.09
Ho 0.5000 0.5001 0.0000  2 Ho 3.08, 8 Ge 3.09


VASP calculation (GGA-PBE) on crystalline Ho2PaGe at its relaxed geometry.

- Space group: R-3m, No. 166
- Distance to the lowest polymorph of the same formula: 241 meV per atom
- Density of states at the Fermi level: 5.429 states/eV per cell
- DFT formation energy: 78 meV per atom

abc: 3.2613 3.2613 11.2778
angles: 81.69 81.69 60.00
Closest atoms and distances in Å follow each position.
Atoms (fractional coordinates):
Pa 0.0000 0.0000 0.0000  2 Ho 3.22, 6 Pa 3.26
Ho 0.9035 0.9035 0.2894  3 Ge 3.01, 1 Pa 3.22, 6 Ho 3.26
Ho 0.0965 0.0965 0.7106  3 Ge 3.01, 1 Pa 3.22, 6 Ho 3.26
Ge 0.5000 0.5000 0.5000  6 Ho 3.01, 6 Ge 3.26


VASP calculation (GGA-PBE) on crystalline HoPaGe2 at its relaxed geometry.

- Space group: R-3m, No. 166
- Distance to the lowest polymorph of the same formula: 0 meV per atom
- Density of states at the Fermi level: 2.360 states/eV per cell
- DFT formation energy: -623 meV per atom

abc: 4.1713 4.1713 7.0736
angles: 72.85 72.85 60.00
Closest atoms and distances in Å follow each position.
Atoms (fractional coordinates):
Ho 0.0000 0.0000 0.0000  6 Ge 2.95
Ge 0.2476 0.2476 0.2573  3 Pa 2.90, 3 Ho 2.95
Ge 0.7524 0.7524 0.7427  3 Pa 2.90, 3 Ho 2.95
Pa 0.5000 0.5000 0.5000  6 Ge 2.90


> Which value of density of states at the Fermi level does entry 2 give?

3.547 states/eV per cell


> density of states at the Fermi level of number 6 (Ho8Ge3Te3P)?

8.862 states/eV per cell


Copy entry 3 word for word.
VASP calculation (GGA-PBE) on crystalline Ho6GeP2Se3 at its relaxed geometry.

- Space group: C2/m, No. 12
- Density of states at the Fermi level: 3.803 states/eV per cell
- Formation energy (no corrections): -1.64 eV per atom

abc: 4.0437 8.1455 9.0958
angles: 103.59 102.84 90.00
Closest atoms and distances in Å follow each position.
Atoms (fractional coordinates):
P 0.1674 0.3350 0.3348  6 Ho 2.77-2.81
P 0.8326 0.6650 0.6652  6 Ho 2.77-2.81
Ho 0.0043 0.2431 0.0086  1 P 2.81, 2 Ge 2.82, 3 Se 2.92-2.95
Ho 0.3364 0.9040 0.6729  2 P 2.80, 1 Ge 2.82, 3 Se 2.92-2.96
Ho 0.3283 0.4283 0.6565  3 P 2.77-2.78, 3 Se 2.95-2.96
Ho 0.6717 0.5717 0.3435  3 P 2.77-2.78, 3 Se 2.95-2.96
Ho 0.6636 0.0960 0.3271  2 P 2.80, 1 Ge 2.82, 3 Se 2.92-2.96
Ho 0.9957 0.7569 0.9914  1 P 2.81, 2 Ge 2.82, 3 Se 2.92-2.95
Ge 0.5000 0.0000 0.0000  6 Ho 2.82
Se 0.1672 0.8324 0.3344  6 Ho 2.92-2.96
Se 0.5000 0.5000 0.0000  6 Ho 2.92-2.96
Se 0.8328 0.1676 0.6656  6 Ho 2.92-2.96